Crystalline InHgO2 at its relaxed geometry. Source: the Alexandria database, functional PBE.

Properties
Excess energy over the best structure of this formula in the dataset, eV per formula unit: 0.00
Symmetry: No. 11
Energy relative to the elements, uncorrected, kcal/mol of atoms: -21.8

Cell and atoms, written as POSCAR:
```
InHgO2
1.0
3.345 0.000 0.000
0.000 5.532 -1.831
0.000 0.361 7.101
O Hg In
4 2 2
Direct
0.750 0.864 0.343 O
0.250 0.368 0.341 O
0.750 0.632 0.659 O
0.250 0.136 0.657 O
0.250 0.224 0.000 Hg
0.750 0.776 0.000 Hg
0.250 0.750 0.500 In
0.750 0.250 0.500 In
```